Record 1
Entry from Alexandria: ScMnAg2 after structural relaxation (PBE-GGA).

The space group is F-43m (No. 216) and the conventional cell measures 6.589, 6.589 and 6.589 Å, with angles of 90.00, 90.00 and 90.00 degrees. Symmetry generates all atoms from Sc at (0.000, 0.000, 0.000), Mn at (0.250, 0.250, 0.250), Ag at (0.000, 0.000, 0.500) and Ag at (0.250, 0.250, 0.750).

The calculation puts the energy relative to the lowest polymorph listed for this composition at 49 meV per atom. The calculation puts the calculated volume at 17.88 A^3/atom. The calculated total energy is -5.252 eV per atom. The calculation puts the formation energy at 0.2 eV per formula unit.


Record 2
Entry from Alexandria: Zr2MnFe after structural relaxation (PBE-GGA).

The space group is C2/m (No. 12) and the conventional cell measures 8.001, 3.050 and 5.814 Å, with angles of 90.00, 98.74 and 90.00 degrees. Symmetry generates all atoms from Zr at (0.245, 0.000, 0.246), Mn at (0.000, 0.000, 0.500) and Fe at (0.000, 0.500, 0.000).

The calculation puts the energy relative to the lowest polymorph listed for this composition at 378 meV per atom. The calculation puts the calculated volume at 17.53 A^3/atom. The calculated total energy is -8.413 eV per atom. The calculation puts the formation energy at 1.1 eV per formula unit.


Record 3
Entry from Alexandria: CaY2 after structural relaxation (PBE-GGA).

The space group is Cmcm (No. 63) and the conventional cell measures 3.695, 19.600 and 5.818 Å, with angles of 90.00, 90.00 and 90.00 degrees. Symmetry generates all atoms from Ca at (0.000, 0.058, 0.250), Y at (0.000, 0.274, 0.750) and Y at (0.000, 0.380, 0.250).

The calculation puts the energy relative to the lowest polymorph listed for this composition at 10 meV per atom. The calculation puts the calculated volume at 35.12 A^3/atom. The calculated total energy is -4.899 eV per atom. The calculation puts the formation energy at 0.2 eV per formula unit.


Record 4
Entry from Alexandria: Cd3BPt4 after structural relaxation (PBE-GGA).

The space group is Imm2 (No. 44) and the conventional cell measures 5.413, 7.361 and 7.407 Å, with angles of 90.00, 90.00 and 90.00 degrees. Symmetry generates all atoms from Cd at (0.000, 0.000, 0.000), Cd at (0.000, 0.232, 0.355), B at (0.000, 0.500, 0.933), Pt at (0.000, 0.313, 0.729) and Pt at (0.248, 0.000, 0.639).

The calculation puts the calculated volume at 18.45 A^3/atom. The calculated total energy is -4.392 eV per atom. The calculation puts the formation energy at -1.5 eV per formula unit.


Record 5
Entry from Alexandria: Nd2Dy6Hg after structural relaxation (PBE-GGA).

The space group is Pnnm (No. 58) and the conventional cell measures 9.800, 10.290 and 5.503 Å, with angles of 90.00, 90.00 and 90.00 degrees. Symmetry generates all atoms from Nd at (0.192, 0.248, 0.000), Dy at (0.019, 0.317, 0.500), Dy at (0.137, 0.896, 0.000), Dy at (0.183, 0.573, 0.000) and Hg at (0.000, 0.000, 0.500).

The calculation puts the calculated volume at 30.83 A^3/atom. The calculated total energy is -4.180 eV per atom. The calculation puts the formation energy at -0.2 eV per formula unit.


Record 6
Entry from Alexandria: PrSmGaGe after structural relaxation (PBE-GGA).

The space group is Amm2 (No. 38) and the conventional cell measures 4.103, 4.460 and 11.238 Å, with angles of 90.00, 90.00 and 90.00 degrees. Symmetry generates all atoms from Pr at (0.000, 0.000, 0.000), Sm at (0.500, 0.000, 0.281), Ga at (0.500, 0.000, 0.568) and Ge at (0.000, 0.000, 0.718).

The calculation puts the energy relative to the lowest polymorph listed for this composition at 0 meV per atom. The calculation puts the calculated volume at 25.71 A^3/atom. The calculated total energy is -5.045 eV per atom. The calculation puts the formation energy at -3.0 eV per formula unit.


Record 7
Entry from Alexandria: CeDy2NbN4 after structural relaxation (PBE-GGA).

The space group is Cmcm (No. 63) and the conventional cell measures 3.403, 11.912 and 12.128 Å, with angles of 90.00, 90.00 and 90.00 degrees. Symmetry generates all atoms from Ce at (0.000, 0.104, 0.250), Dy at (0.000, 0.370, 0.035), Nb at (0.000, 0.159, 0.750), N at (0.000, 0.000, 0.000), N at (0.000, 0.262, 0.622) and N at (0.000, 0.451, 0.250).

The calculation puts the calculated volume at 15.36 A^3/atom. The calculated total energy is -8.578 eV per atom. The formation energy from raw total energies comes out at -1.264 eV per atom.


Record 8
Entry from Alexandria: K2LiNiH6 after structural relaxation (PBE-GGA).

The space group is P-3m1 (No. 164) and the conventional cell measures 5.6381, 5.6381 and 4.8078 Å, with angles of 90.00, 90.00 and 120.00 degrees. Symmetry generates all atoms from K at (0.3333, 0.6667, 0.2752), Li at (0.0000, 0.0000, 0.0000), Ni at (0.0000, 0.0000, 0.5000) and H at (0.1312, 0.2625, 0.6942).

The calculation puts the calculated volume at 13.24 A^3/atom. The calculated total energy is -3.230 eV per atom.


Record 9
Entry from Alexandria: Sm6C2Br3O after structural relaxation (PBE-GGA).

The space group is C2/m (No. 12) and the conventional cell measures 6.467, 11.203 and 7.569 Å, with angles of 90.00, 106.57 and 90.00 degrees. Symmetry generates all atoms from Sm at (0.226, 0.000, 0.180), Sm at (0.227, 0.333, 0.180), C at (0.000, 0.166, 0.000), Br at (0.000, 0.000, 0.500), Br at (0.000, 0.331, 0.500) and O at (0.000, 0.500, 0.000).

The calculation puts the calculated volume at 21.90 A^3/atom. The calculated total energy is -6.009 eV per atom. The formation energy from raw total energies comes out at -1.281 eV per atom.


Record 10
Entry from Alexandria: GeW3I after structural relaxation (PBE-GGA).

The space group is Pm-3m (No. 221) and the conventional cell measures 4.721, 4.721 and 4.721 Å, with angles of 90.00, 90.00 and 90.00 degrees. Symmetry generates all atoms from Ge at (0.000, 0.000, 0.000), W at (0.000, 0.000, 0.500) and I at (0.500, 0.500, 0.500).

The calculation puts the energy relative to the lowest polymorph listed for this composition at 0 meV per atom. The calculation puts the calculated volume at 21.04 A^3/atom. The calculated total energy is -6.927 eV per atom. The formation energy from raw total energies comes out at 2.078 eV per atom.


Record 11
Entry from Alexandria: SrTeRu2 after structural relaxation (PBE-GGA).

The space group is Imm2 (No. 44) and the conventional cell measures 3.222, 4.987 and 10.181 Å, with angles of 90.00, 90.00 and 90.00 degrees. Symmetry generates all atoms from Sr at (0.000, 0.000, 0.000), Te at (0.000, 0.500, 0.781), Ru at (0.000, 0.000, 0.499) and Ru at (0.000, 0.500, 0.213).

The calculation puts the calculated volume at 20.45 A^3/atom. The calculated total energy is -5.506 eV per atom. The formation energy from raw total energies comes out at 0.338 eV per atom.